{"formula": "TcNiS", "functional": "PBE", "state": "optimized geometry", "lattice": [[3.8260, -0.0123, -0.0013], [1.9006, 3.3206, -0.0013], [1.8880, 1.0907, 6.3616]], "species": ["Tc", "Tc", "Ni", "Ni", "S", "S"], "fractional_positions": [[0.7630, 0.7630, 0.9920], [0.9902, 0.9902, 0.3154], [0.1786, 0.1786, 0.7453], [0.5745, 0.5745, 0.5620], [0.2982, 0.2982, 0.3968], [0.4551, 0.4551, 0.9106]], "e_form_raw_ev_per_atom": 0.002, "n_ef_per_ev_fu": 1.8}